No. 1
This record from Alexandria via LeMat-Bulk describes a relaxed BePt5 crystal. The functional is GGA-PBEsol.

Unit cell a=2.7441 b=2.7441 c=10.9535 alpha=90.00 beta=90.00 gamma=90.00
Sites, in units of the cell vectors:
1 Pt 0.0000 0.0000 0.6301
2 Pt 0.5000 0.5000 0.8196
3 Pt 0.5000 0.5000 0.1804
4 Pt 0.0000 0.0000 0.3699
5 Pt 0.0000 0.0000 0.0000
6 Be 0.5000 0.5000 0.5000

Space group ... P4/mmm
Total DFT energy (no corrections) ... -40.5 eV per cell
M_tot ... 0.0 Bohr magnetons per cell
Calculated volume ... 13.75 Å³ per atom
DOS at the Fermi energy ... 8.3 states/eV per cell
Calculated formation energy ... -26.6 kJ/mol of atoms
Crystal system ... tetragonal
E above lowest polymorph ... 0.00 eV per formula unit

No. 2
This record from Alexandria via LeMat-Bulk describes a relaxed Li2Ca crystal. The functional is GGA-PBEsol.

Unit cell a=4.3887 b=4.3887 c=9.3380 alpha=103.59 beta=103.59 gamma=90.00
Sites, in units of the cell vectors:
1 Ca 0.0000 0.0000 0.0000
2 Ca 0.2500 0.7500 0.5000
3 Li 0.4192 0.4192 0.8385
4 Li 0.5808 0.5808 0.1615
5 Li 0.6692 0.1692 0.3385
6 Li 0.8308 0.3308 0.6615

Space group ... I4_1/amd
Total DFT energy (no corrections) ... -11.6 eV per cell
M_tot ... 0.0 Bohr magnetons per cell
Calculated volume ... 28.27 Å³ per atom
DOS at the Fermi energy ... 4.1 states/eV per cell
Calculated formation energy ... 8.7 kJ/mol of atoms
Crystal system ... tetragonal
E above lowest polymorph ... 0.32 eV per formula unit

No. 3
This record from Alexandria via LeMat-Bulk describes a relaxed LiFeF4 crystal. The functional is GGA-PBEsol.

Unit cell a=5.7583 b=7.3461 c=7.3461 alpha=113.43 beta=105.15 gamma=105.15
Sites, in units of the cell vectors:
1 Fe 0.0778 0.0000 0.4817
2 Fe 0.5962 0.5183 0.5183
3 Fe 0.0778 0.4817 0.0000
4 F 0.5970 0.7526 0.7526
5 F 0.8248 0.7952 0.5143
6 F 0.0296 0.2048 0.7190
7 F 0.3897 0.0000 0.6140
8 F 0.3106 0.2810 0.4857
9 F 0.3897 0.6140 0.0000
10 F 0.0296 0.7190 0.2048
11 F 0.8248 0.5143 0.7952
12 F 0.7757 0.3860 0.3860
13 F 0.8444 0.2474 0.0000
14 F 0.3106 0.4857 0.2810
15 F 0.8444 0.0000 0.2474
16 Li 0.7126 0.7220 0.0000
17 Li 0.9906 0.2780 0.2780
18 Li 0.7126 0.0000 0.7220

Space group ... R3m
Energy relative to the elements, uncorrected ... -2.350 eV/atom
Total DFT energy (no corrections) ... -98.2 eV per cell
M_tot ... 15.0 Bohr magnetons per cell
Calculated volume ... 13.93 Å³ per atom
Crystal system ... trigonal
E above lowest polymorph ... 0.31 eV per formula unit

No. 4
This record from Alexandria via LeMat-Bulk describes a relaxed S2OF crystal. The functional is GGA-PBEsol.

Unit cell a=3.9775 b=3.9775 c=3.9775 alpha=60.00 beta=60.00 gamma=60.00
Sites, in units of the cell vectors:
1 F 0.5000 0.5000 0.5000
2 S 0.2500 0.2500 0.2500
3 S 0.7500 0.7500 0.7500
4 O 0.0000 0.0000 0.0000

Space group ... Fm-3m
Energy relative to the elements, uncorrected ... 0.750 eV/atom
Total DFT energy (no corrections) ... -12.9 eV per cell
M_tot ... 0.0 Bohr magnetons per cell
Calculated volume ... 11.12 Å³ per atom
DOS at the Fermi energy ... 3.3 states/eV per cell
Crystal system ... cubic
E above lowest polymorph ... 3.47 eV per formula unit

No. 5
This record from Alexandria via LeMat-Bulk describes a relaxed AlTcOs crystal. The functional is GGA-PBEsol.

Unit cell a=2.8773 b=2.8773 c=5.3652 alpha=105.55 beta=105.55 gamma=90.00
Sites, in units of the cell vectors:
1 Tc 0.3324 0.3324 0.6649
2 Al 0.0014 0.0014 0.0027
3 Os 0.6662 0.6662 0.3324

Space group ... I4mm
Total DFT energy (no corrections) ... -28.5 eV per cell
M_tot ... 0.0 Bohr magnetons per cell
Calculated volume ... 13.70 Å³ per atom
DOS at the Fermi energy ... 1.5 states/eV per cell
Calculated formation energy ... -31.3 kJ/mol of atoms
Crystal system ... tetragonal
E above lowest polymorph ... 0.00 eV per formula unit

No. 6
This record from Alexandria via LeMat-Bulk describes a relaxed InCuP4 crystal. The functional is GGA-PBEsol.

Unit cell a=5.4534 b=5.4534 c=5.4534 alpha=60.00 beta=60.00 gamma=60.00
Sites, in units of the cell vectors:
1 In 0.0000 0.0000 0.0000
2 P 0.3972 0.3972 0.8085
3 P 0.3972 0.3972 0.3972
4 P 0.8085 0.3972 0.3972
5 P 0.3972 0.8085 0.3972
6 Cu 0.7500 0.7500 0.7500

Space group ... F-43m
Total DFT energy (no corrections) ... -27.0 eV per cell
M_tot ... 0.0 Bohr magnetons per cell
Calculated volume ... 19.11 Å³ per atom
DOS at the Fermi energy ... 2.3 states/eV per cell
Calculated formation energy ... 56.0 kJ/mol of atoms
Crystal system ... cubic